## RbGaAuF6 (GGA-PBE)

Data for a geometry-optimized RbGaAuF6 structure.

a b c (Å): 5.6813 5.7217 5.8173
angles (deg): 91.11 91.12 116.82
With the nearest neighbours (Å) after each atom.
Element x y z (fractional)
Rb 0.0000 0.0000 0.0000  6 F 2.77-2.87
Ga 0.6617 0.3363 0.4974  6 F 1.85-2.00
Au 0.3273 0.6762 0.4999  4 F 2.16-2.19
F 0.3699 0.0422 0.6548  1 Ga 2.00, 1 Au 2.17
F 0.3832 0.3753 0.3145  1 Ga 1.99, 1 Au 2.16
F 0.6258 0.6093 0.6875  1 Ga 1.98, 1 Au 2.18
F 0.6577 0.0994 0.2745  1 Ga 1.85
F 0.9017 0.3289 0.7123  1 Ga 1.85
F 0.9547 0.6281 0.3417  1 Ga 2.00, 1 Au 2.19

Computed properties:
The value obtained for the uncorrected energy is -4.14 eV/atom. Its crystal system is triclinic.